Entry 1:
# PBE La6Nd5Mg2, relaxed
data_La6Nd5Mg2
_cell_length_a 3.612
_cell_length_b 10.824
_cell_length_c 23.470
_cell_angle_alpha 90.00
_cell_angle_beta 90.00
_cell_angle_gamma 90.00
_space_group_name_H-M_alt 'P 1'
_space_group_IT_number 1
_space_group_name_Hall 'P 1'
loop_
_atom_site_label
_atom_site_type_symbol
_atom_site_fract_x
_atom_site_fract_y
_atom_site_fract_z
_atom_site_occupancy
Mg1 Mg 0.000 0.167 0.761 1
Nd1 Nd 0.500 0.333 0.495 1
Mg2 Mg 0.000 0.667 0.739 1
La1 La 0.500 0.333 0.134 1
Mg3 Mg 0.000 0.333 0.261 1
Nd2 Nd 0.500 0.500 0.000 1
La2 La 0.000 0.017 0.113 1
La3 La 0.000 0.983 0.887 1
La4 La 0.000 0.517 0.387 1
La5 La 0.000 0.649 0.117 1
Nd3 Nd 0.500 0.667 0.505 1
La6 La 0.000 0.149 0.383 1
Nd4 Nd 0.500 0.833 0.005 1
La7 La 0.500 0.167 0.634 1
Nd5 Nd 0.500 0.917 0.751 1
La8 La 0.000 0.351 0.883 1
Nd6 Nd 0.500 0.083 0.249 1
La9 La 0.000 0.851 0.617 1
Nd7 Nd 0.500 0.000 0.500 1
Nd8 Nd 0.500 0.583 0.251 1
Nd9 Nd 0.500 0.167 0.995 1
Nd10 Nd 0.500 0.417 0.749 1
La10 La 0.500 0.833 0.366 1
Mg4 Mg 0.000 0.833 0.239 1
La11 La 0.500 0.667 0.866 1
La12 La 0.000 0.483 0.613 1
# V   458.8 Å³/f.u.
# Energy relative to the elements   0.10 eV/atom
# Space-group type   No. 55
# Calculated total energy   -4.2519 eV/atom
# Total magnetic moment   0.00 μB per atom


Entry 2:
# PBE Na2PuU2S6, relaxed
data_Na2PuU2S6
_cell_length_a 6.945
_cell_length_b 6.945
_cell_length_c 7.083
_cell_angle_alpha 99.27
_cell_angle_beta 99.27
_cell_angle_gamma 120.15
_space_group_name_H-M_alt 'P 1'
_space_group_IT_number 1
_space_group_name_Hall 'P 1'
loop_
_atom_site_label
_atom_site_type_symbol
_atom_site_fract_x
_atom_site_fract_y
_atom_site_fract_z
_atom_site_occupancy
S1 S 0.932 0.588 0.281 1
Na1 Na 0.166 0.834 0.000 1
Pu1 Pu 0.000 0.000 0.500 1
U1 U 0.335 0.665 0.500 1
S2 S 0.412 0.068 0.719 1
S3 S 0.263 0.263 0.278 1
S4 S 0.068 0.412 0.719 1
S5 S 0.737 0.737 0.722 1
S6 S 0.588 0.932 0.281 1
Na2 Na 0.834 0.166 0.000 1
U2 U 0.665 0.335 0.500 1
# V   279.6 Å³/f.u.
# Energy relative to the elements, uncorrected   -1.45 eV per atom
# Space-group type   No. 12
# Calculated total energy   -7.2950 eV/atom
# Total magnetic moment   0.91 μB per atom


Entry 3:
# PBE Rb2SmAs2O6, relaxed
data_Rb2SmAs2O6
_cell_length_a 6.108
_cell_length_b 6.005
_cell_length_c 7.488
_cell_angle_alpha 112.37
_cell_angle_beta 90.00
_cell_angle_gamma 120.57
_space_group_name_H-M_alt 'P 1'
_space_group_IT_number 1
_space_group_name_Hall 'P 1'
loop_
_atom_site_label
_atom_site_type_symbol
_atom_site_fract_x
_atom_site_fract_y
_atom_site_fract_z
_atom_site_occupancy
Rb1 Rb 0.284 0.569 0.811 1
O1 O 0.754 0.969 0.266 1
As1 As 0.933 0.865 0.781 1
O2 O 0.749 0.497 0.609 1
O3 O 0.251 0.503 0.391 1
O4 O 0.784 0.031 0.734 1
Sm1 Sm 0.500 0.000 0.500 1
O5 O 0.246 0.031 0.734 1
Rb2 Rb 0.716 0.431 0.189 1
O6 O 0.216 0.969 0.266 1
As2 As 0.067 0.135 0.219 1
# V   212.1 Å³/f.u.
# Energy relative to the elements, uncorrected   -1.90 eV per atom
# Space-group type   No. 12
# Calculated total energy   -6.0540 eV/atom
# Total magnetic moment   0.09 μB per atom


Entry 4:
# PBE TiCoTe2, relaxed
data_TiCoTe2
_cell_length_a 4.741
_cell_length_b 4.741
_cell_length_c 4.741
_cell_angle_alpha 60.00
_cell_angle_beta 60.00
_cell_angle_gamma 60.00
_space_group_name_H-M_alt 'P 1'
_space_group_IT_number 1
_space_group_name_Hall 'P 1'
loop_
_atom_site_label
_atom_site_type_symbol
_atom_site_fract_x
_atom_site_fract_y
_atom_site_fract_z
_atom_site_occupancy
Te1 Te 0.750 0.750 0.750 1
Ti1 Ti 0.000 0.000 0.000 1
Co1 Co 0.500 0.500 0.500 1
Te2 Te 0.250 0.250 0.250 1
# V   75.4 Å³/f.u.
# Energy relative to the elements, uncorrected   0.07 eV per atom
# Space-group type   No. 225
# Calculated total energy   -5.2521 eV/atom
# Total magnetic moment   0.00 μB per atom


Entry 5:
# PBE BaGeP2Cl, relaxed
data_BaGeP2Cl
_cell_length_a 6.113
_cell_length_b 6.113
_cell_length_c 5.705
_cell_angle_alpha 90.00
_cell_angle_beta 90.00
_cell_angle_gamma 90.00
_space_group_name_H-M_alt 'P 1'
_space_group_IT_number 1
_space_group_name_Hall 'P 1'
loop_
_atom_site_label
_atom_site_type_symbol
_atom_site_fract_x
_atom_site_fract_y
_atom_site_fract_z
_atom_site_occupancy
P1 P 0.500 0.000 0.000 1
Cl1 Cl 0.000 0.000 0.500 1
Ge1 Ge 0.500 0.500 0.500 1
P2 P 0.000 0.500 0.000 1
Ba1 Ba 0.000 0.000 0.000 1
# V   213.2 Å³/f.u.
# Energy relative to the elements, uncorrected   0.79 eV per atom
# Space-group type   No. 123
# Energy above the lowest structure with this stoichiometry   122.0 kJ per mole of atoms
# Calculated total energy   -3.0550 eV/atom
# Total magnetic moment   0.52 μB per atom


Entry 6:
# PBE Na2NpSnTe4, relaxed
data_Na2NpSnTe4
_cell_length_a 4.494
_cell_length_b 7.925
_cell_length_c 7.820
_cell_angle_alpha 108.97
_cell_angle_beta 90.00
_cell_angle_gamma 90.00
_space_group_name_H-M_alt 'P 1'
_space_group_IT_number 1
_space_group_name_Hall 'P 1'
loop_
_atom_site_label
_atom_site_type_symbol
_atom_site_fract_x
_atom_site_fract_y
_atom_site_fract_z
_atom_site_occupancy
Np1 Np 0.500 0.500 0.000 1
Na1 Na 0.000 0.500 0.500 1
Sn1 Sn 0.000 0.000 0.000 1
Te1 Te 0.500 0.744 0.768 1
Te2 Te 0.000 0.737 0.230 1
Na2 Na 0.500 0.000 0.500 1
Te3 Te 0.000 0.263 0.770 1
Te4 Te 0.500 0.256 0.232 1
# V   263.4 Å³/f.u.
# Energy relative to the elements, uncorrected   -0.68 eV per atom
# Space-group type   No. 10
# Calculated total energy   -4.6955 eV/atom
# Total magnetic moment   0.38 μB per atom


Entry 7:
# PBE VRuRh, relaxed
data_VRuRh
_cell_length_a 5.243
_cell_length_b 4.099
_cell_length_c 8.882
_cell_angle_alpha 90.00
_cell_angle_beta 118.84
_cell_angle_gamma 90.00
_space_group_name_H-M_alt 'P 1'
_space_group_IT_number 1
_space_group_name_Hall 'P 1'
loop_
_atom_site_label
_atom_site_type_symbol
_atom_site_fract_x
_atom_site_fract_y
_atom_site_fract_z
_atom_site_occupancy
V1 V 0.488 0.500 0.541 1
Ru1 Ru 0.199 0.500 0.891 1
Ru2 Ru 0.368 0.500 0.241 1
Rh1 Rh 0.997 0.000 0.031 1
Ru3 Ru 0.199 0.000 0.391 1
Ru4 Ru 0.368 0.000 0.741 1
Rh2 Rh 0.816 0.000 0.673 1
V2 V 0.693 0.000 0.360 1
Rh3 Rh 0.816 0.500 0.173 1
V3 V 0.693 0.500 0.860 1
V4 V 0.488 0.000 0.041 1
Rh4 Rh 0.997 0.500 0.531 1
# V   41.8 Å³/f.u.
# Energy relative to the elements   -0.16 eV/atom
# Space-group type   No. 8
# Energy above the lowest structure with this stoichiometry   11.7 kJ per mole of atoms
# Calculated total energy   -8.7435 eV/atom
# Total magnetic moment   0.00 μB per atom


Entry 8:
# PBE Tb3YSc3, relaxed
data_Tb3YSc3
_cell_length_a 8.471
_cell_length_b 8.471
_cell_length_c 8.471
_cell_angle_alpha 58.81
_cell_angle_beta 58.81
_cell_angle_gamma 58.81
_space_group_name_H-M_alt 'P 1'
_space_group_IT_number 1
_space_group_name_Hall 'P 1'
loop_
_atom_site_label
_atom_site_type_symbol
_atom_site_fract_x
_atom_site_fract_y
_atom_site_fract_z
_atom_site_occupancy
Sc1 Sc 0.938 0.722 0.169 1
Tb1 Tb 0.068 0.721 0.568 1
Tb2 Tb 0.279 0.432 0.932 1
Tb3 Tb 0.568 0.068 0.721 1
Tb4 Tb 0.721 0.568 0.068 1
Sc2 Sc 0.831 0.062 0.278 1
Y1 Y 0.652 0.652 0.652 1
Tb5 Tb 0.932 0.279 0.432 1
Tb6 Tb 0.432 0.932 0.279 1
Sc3 Sc 0.278 0.831 0.062 1
Y2 Y 0.348 0.348 0.348 1
Sc4 Sc 0.062 0.278 0.831 1
Sc5 Sc 0.169 0.938 0.722 1
Sc6 Sc 0.722 0.169 0.938 1
# V   209.1 Å³/f.u.
# Energy relative to the elements   0.19 eV/atom
# Space-group type   No. 148
# Energy above the lowest structure with this stoichiometry   15.0 kJ per mole of atoms
# Calculated total energy   -5.4356 eV/atom
# Total magnetic moment   0.00 μB per atom


Entry 9:
# PBE IrPbW2, relaxed
data_IrPbW2
_cell_length_a 3.081
_cell_length_b 2.943
_cell_length_c 8.306
_cell_angle_alpha 82.71
_cell_angle_beta 90.00
_cell_angle_gamma 90.00
_space_group_name_H-M_alt 'P 1'
_space_group_IT_number 1
_space_group_name_Hall 'P 1'
loop_
_atom_site_label
_atom_site_type_symbol
_atom_site_fract_x
_atom_site_fract_y
_atom_site_fract_z
_atom_site_occupancy
Pb1 Pb 0.500 0.532 0.755 1
W1 W 0.000 0.995 0.035 1
Ir1 Ir 0.000 0.708 0.454 1
W2 W 0.500 0.265 0.256 1
# V   74.7 Å³/f.u.
# Energy relative to the elements   0.46 eV/atom
# Space-group type   No. 6
# Calculated total energy   -9.1639 eV/atom
# Total magnetic moment   0.00 μB per atom


Entry 10:
# PBE PrTm8Th4, relaxed
data_PrTm8Th4
_cell_length_a 7.332
_cell_length_b 7.332
_cell_length_c 9.776
_cell_angle_alpha 90.00
_cell_angle_beta 112.02
_cell_angle_gamma 120.00
_space_group_name_H-M_alt 'P 1'
_space_group_IT_number 1
_space_group_name_Hall 'P 1'
loop_
_atom_site_label
_atom_site_type_symbol
_atom_site_fract_x
_atom_site_fract_y
_atom_site_fract_z
_atom_site_occupancy
Th1 Th 0.000 0.500 0.000 1
Tm1 Tm 0.939 0.751 0.690 1
Tm2 Tm 0.502 0.751 0.690 1
Tm3 Tm 0.061 0.249 0.310 1
Tm4 Tm 0.442 0.221 0.664 1
Tm5 Tm 0.558 0.779 0.336 1
Th2 Th 0.000 0.000 0.000 1
Tm6 Tm 0.061 0.812 0.310 1
Tm7 Tm 0.498 0.249 0.310 1
Th3 Th 0.500 0.500 0.000 1
Pr1 Pr 0.000 0.500 0.500 1
Th4 Th 0.500 0.000 0.000 1
Tm8 Tm 0.939 0.188 0.690 1
# V   410.3 Å³/f.u.
# Energy relative to the elements   0.22 eV/atom
# Space-group type   No. 166
# Calculated total energy   -5.1838 eV/atom
# Total magnetic moment   0.00 μB per atom


Entry 11:
# PBE Pr2ErIr3, relaxed
data_Pr2ErIr3
_cell_length_a 4.637
_cell_length_b 5.753
_cell_length_c 6.543
_cell_angle_alpha 116.08
_cell_angle_beta 110.75
_cell_angle_gamma 90.00
_space_group_name_H-M_alt 'P 1'
_space_group_IT_number 1
_space_group_name_Hall 'P 1'
loop_
_atom_site_label
_atom_site_type_symbol
_atom_site_fract_x
_atom_site_fract_y
_atom_site_fract_z
_atom_site_occupancy
Er1 Er 0.000 0.500 0.000 1
Pr1 Pr 0.672 0.172 0.344 1
Pr2 Pr 0.328 0.828 0.656 1
Ir1 Ir 0.638 0.638 0.276 1
Ir2 Ir 0.000 0.000 0.000 1
Ir3 Ir 0.362 0.362 0.724 1
# V   144.0 Å³/f.u.
# Energy relative to the elements   -0.35 eV/atom
# Space-group type   No. 71
# Calculated total energy   -7.1322 eV/atom
# Total magnetic moment   0.00 μB per atom


Entry 12:
# PBE FeSe, relaxed
data_FeSe
_cell_length_a 10.092
_cell_length_b 10.092
_cell_length_c 3.568
_cell_angle_alpha 90.00
_cell_angle_beta 90.00
_cell_angle_gamma 90.00
_space_group_name_H-M_alt 'P 1'
_space_group_IT_number 1
_space_group_name_Hall 'P 1'
loop_
_atom_site_label
_atom_site_type_symbol
_atom_site_fract_x
_atom_site_fract_y
_atom_site_fract_z
_atom_site_occupancy
Fe1 Fe 0.539 0.882 0.000 1
Fe2 Fe 0.385 0.806 0.500 1
Se1 Se 0.063 0.304 0.000 1
Fe3 Fe 0.882 0.461 0.000 1
Fe4 Fe 0.461 0.118 0.000 1
Se2 Se 0.744 0.389 0.500 1
Se3 Se 0.937 0.696 0.000 1
Se4 Se 0.256 0.611 0.500 1
Fe5 Fe 0.118 0.539 0.000 1
Se5 Se 0.696 0.063 0.000 1
Se6 Se 0.304 0.937 0.000 1
Fe6 Fe 0.194 0.385 0.500 1
Fe7 Fe 0.806 0.615 0.500 1
Se7 Se 0.389 0.256 0.500 1
Fe8 Fe 0.615 0.194 0.500 1
Se8 Se 0.611 0.744 0.500 1
# V   45.4 Å³/f.u.
# Energy relative to the elements, uncorrected   -0.11 eV per atom
# Space-group type   No. 83
# Calculated total energy   -6.0861 eV/atom
# Total magnetic moment   1.10 μB per atom


Question: The highest V belongs to which entry?
Answer: La6Nd5Mg2


Question: Which of these has the lowest V?
Answer: VRuRh


What did the fifth record say?
# PBE BaGeP2Cl, relaxed
data_BaGeP2Cl
_cell_length_a 6.113
_cell_length_b 6.113
_cell_length_c 5.705
_cell_angle_alpha 90.00
_cell_angle_beta 90.00
_cell_angle_gamma 90.00
_space_group_name_H-M_alt 'P 1'
_space_group_IT_number 1
_space_group_name_Hall 'P 1'
loop_
_atom_site_label
_atom_site_type_symbol
_atom_site_fract_x
_atom_site_fract_y
_atom_site_fract_z
_atom_site_occupancy
P1 P 0.500 0.000 0.000 1
Cl1 Cl 0.000 0.000 0.500 1
Ge1 Ge 0.500 0.500 0.500 1
P2 P 0.000 0.500 0.000 1
Ba1 Ba 0.000 0.000 0.000 1
# V   213.2 Å³/f.u.
# Energy relative to the elements, uncorrected   0.79 eV per atom
# Space-group type   No. 123
# Energy above the lowest structure with this stoichiometry   122.0 kJ per mole of atoms
# Calculated total energy   -3.0550 eV/atom
# Total magnetic moment   0.52 μB per atom